Compound: K2AcRu2O7
Source: the Alexandria database
Functional: GGA-PBE
Structure: optimized geometry

## Properties
The calculation puts the total magnetization at 5.038 μB/cell. The calculation puts the formation energy (no corrections) at -1.677 eV/atom. Its space group is I4/mmm, No. 139.

Cell: 11.1965 11.1965 11.1965 Å, 159.38 159.38 29.32°
Last column: nearest neighbours and their distance in Å.
Positions (direct):
K: 0.1884 0.1884 0.0000  9 O 2.77-3.01
K: 0.8116 0.8116 0.0000  9 O 2.77-3.01
Ac: 0.0000 0.0000 0.0000  12 O 2.72-2.83
Ru: 0.4020 0.4020 0.0000  5 O 1.86-2.02
Ru: 0.5980 0.5980 0.0000  5 O 1.86-2.02
O: 0.0848 0.5848 0.5000  2 Ru 2.02
O: 0.3163 0.3163 0.0000  1 Ru 1.86
O: 0.4152 0.9152 0.5000  2 Ru 2.02
O: 0.5000 0.5000 0.0000  2 Ru 2.12
O: 0.5848 0.0848 0.5000  2 Ru 2.02
O: 0.6837 0.6837 0.0000  1 Ru 1.86
O: 0.9152 0.4152 0.5000  2 Ru 2.02